This record from the Alexandria database describes an optimized crystal structure of CuAg2Pt. The functional is GGA-PBEsol.

- symmetry = Cmmm (65)
- magnetic moment (μB per cell) = 0.00
- excess energy over the best structure of this formula in the dataset (meV/atom) = 94

POSCAR file:
```
CuAg2Pt
1.0
-1.645 -2.104 0.438
2.661 -0.492 -0.009
0.331 1.628 9.060
Pt Cu Ag
1 1 2
Direct
0.500 0.500 0.000
0.500 0.500 0.500
0.000 0.000 0.738
0.000 0.000 0.262
```

***

This record from the Alexandria database describes an optimized crystal structure of KAuSe2. The functional is GGA-PBEsol.

- symmetry = P2/m (10)
- magnetic moment (μB per cell) = 0.00
- formation energy (no corrections) (kJ/mol of formula units) = -201.4

POSCAR file:
```
KAuSe2
1.0
3.761 0.000 0.000
0.000 4.809 0.037
0.000 -0.155 6.446
K Au Se
1 1 2
Direct
0.500 0.500 0.500
0.500 0.000 0.000
0.000 0.994 0.252
0.000 0.006 0.748
```

***

This record from the Alexandria database describes an optimized crystal structure of FeCSe3. The functional is GGA-PBEsol.

- symmetry = Pm-3m (221)
- magnetic moment (μB per cell) = 3.64
- formation energy (no corrections) (kJ/mol of formula units) = 577.4

POSCAR file:
```
FeCSe3
1.0
-3.561 0.172 2.423
-0.188 -4.306 0.029
2.421 -0.081 3.565
Se Fe C
3 1 1
Direct
0.000 0.000 0.500
0.000 0.500 0.000
0.500 0.000 0.000
0.500 0.500 0.500
0.000 0.000 0.000
```

***

This record from the Alexandria database describes an optimized crystal structure of GaHSe2. The functional is GGA-PBEsol.

- symmetry = R-3m (166)
- magnetic moment (μB per cell) = 0.00
- DFT total energy (eV per atom) = -3.15

POSCAR file:
```
GaHSe2
1.0
2.893 0.000 0.000
1.446 2.505 0.000
1.446 0.835 8.447
H Ga Se
1 1 2
Direct
0.500 0.500 0.500
0.000 0.000 0.000
0.107 0.107 0.680
0.893 0.893 0.320
```

***

This record from the Alexandria database describes an optimized crystal structure of Cs2KCeI6. The functional is GGA-PBEsol.

- symmetry = Fm-3m (225)
- magnetic moment (μB per cell) = 1.00
- formation energy (no corrections) (kJ/mol of formula units) = -1341.0

POSCAR file:
```
Cs2KCeI6
1.0
-7.547 -4.876 0.018
-0.509 -7.510 -4.906
-0.160 -8.015 4.058
Cs K Ce I
2 1 1 6
Direct
0.250 0.250 0.250
0.750 0.750 0.750
0.500 0.500 0.500
0.000 0.000 0.000
0.242 0.758 0.242
0.242 0.242 0.758
0.242 0.758 0.758
0.758 0.242 0.758
0.758 0.758 0.242
0.758 0.242 0.242
```

***

This record from the Alexandria database describes an optimized crystal structure of YScOs4. The functional is GGA-PBEsol.

- symmetry = F-43m (216)
- magnetic moment (μB per cell) = 0.00
- DFT total energy (eV per atom) = -10.64

POSCAR file:
```
YScOs4
1.0
5.240 0.000 0.000
2.620 4.538 0.000
2.620 1.513 4.279
Os Y Sc
4 1 1
Direct
0.375 0.874 0.375
0.375 0.375 0.874
0.874 0.375 0.375
0.375 0.375 0.375
0.000 0.000 0.000
0.750 0.750 0.750
```

***

This record from the Alexandria database describes an optimized crystal structure of BeZnTe. The functional is GGA-PBEsol.

- symmetry = I4mm (107)
- magnetic moment (μB per cell) = 0.00
- excess energy over the best structure of this formula in the dataset (meV/atom) = 57
- formation energy (no corrections) (kJ/mol of formula units) = 135.4

POSCAR file:
```
BeZnTe
1.0
-2.705 -1.415 -0.089
1.386 -2.680 0.470
0.078 2.785 5.732
Be Zn Te
1 1 1
Direct
0.961 0.961 0.921
0.386 0.386 0.773
0.653 0.653 0.306
```

***

This record from the Alexandria database describes an optimized crystal structure of TlIn2Ir. The functional is GGA-PBEsol.

- symmetry = Imm2 (44)
- magnetic moment (μB per cell) = 0.00
- excess energy over the best structure of this formula in the dataset (meV/atom) = 0

POSCAR file:
```
TlIn2Ir
1.0
-2.517 0.705 -1.491
-1.182 -4.355 -0.064
-1.380 2.616 6.604
In Tl Ir
2 1 1
Direct
0.180 0.680 0.361
0.999 0.999 0.997
0.814 0.314 0.627
0.507 0.507 0.014
```